# 1
# AlB2F2

A PBEsol-optimized structure of AlB2F2 (meta-GGA SCAN, Alexandria).

- Symmetry: I4/mmm (139)

```
AlB2F2
1.0
3.311 0.000 0.000
0.000 3.311 0.000
-1.655 -1.655 4.308
B Al F
2 1 2
Direct
0.412 0.412 0.825
0.588 0.588 0.175
0.000 0.000 0.000
0.250 0.750 0.500
0.750 0.250 0.500
```

***

# 2
# NaAl6Fe3Si6B3O30F

A PBEsol-optimized structure of NaAl6Fe3Si6B3O30F (meta-GGA SCAN, Alexandria).

- Symmetry: R3m (160)

```
NaAl6Fe3Si6B3O30F
1.0
7.161 0.000 0.000
-2.387 9.094 0.000
-2.387 -4.547 7.875
Na Al Fe Si B O F
1 6 3 6 3 30 1
Direct
0.239 0.000 0.000
0.895 0.336 0.552
0.559 0.216 0.664
0.343 0.784 0.448
0.895 0.552 0.336
0.343 0.448 0.784
0.559 0.664 0.216
0.759 0.195 0.195
0.564 0.805 0.000
0.564 0.000 0.805
0.997 0.189 0.807
0.807 0.617 0.811
0.807 0.811 0.617
0.190 0.383 0.193
0.997 0.807 0.189
0.190 0.193 0.383
0.563 0.000 0.329
0.234 0.671 0.671
0.563 0.329 0.000
0.164 0.522 0.671
0.493 0.329 0.850
0.642 0.150 0.478
0.164 0.671 0.522
0.642 0.478 0.150
0.493 0.850 0.329
0.785 0.424 0.717
0.068 0.283 0.707
0.361 0.293 0.576
0.785 0.717 0.424
0.361 0.576 0.293
0.068 0.707 0.283
0.586 0.623 0.821
0.765 0.179 0.802
0.963 0.198 0.377
0.586 0.821 0.623
0.963 0.377 0.198
0.557 0.000 0.179
0.557 0.179 0.000
0.378 0.821 0.821
0.394 0.617 0.000
0.776 0.383 0.383
0.394 0.000 0.617
0.176 0.000 0.291
0.176 0.291 0.000
0.885 0.709 0.709
0.998 0.734 0.000
0.264 0.266 0.266
0.998 0.000 0.734
0.765 0.802 0.179
0.773 0.000 0.000
```

***

# 3
# AlFe3B

A PBEsol-optimized structure of AlFe3B (meta-GGA SCAN, Alexandria).

- Symmetry: Pm-3m (221)
- Energy of formation from the pure elements: 1.8886 eV/atom
- Offset from the most stable computed form: 1970 meV per atom

```
AlFe3B
1.0
-0.951 -0.570 4.015
-1.916 -3.572 -0.961
3.575 -2.066 0.554
B Fe Al
1 3 1
Direct
0.500 0.500 0.500
0.000 0.500 0.000
0.000 0.000 0.500
0.500 0.000 0.000
0.000 0.000 0.000
```

***

no.,M_tot (μB per formula unit),raw total energy (Ry/atom)
1,0.00,-0.422
2,3.00,-0.765
3,7.60,-0.884